Record 1
! CeCd2Au6 PBE relaxed; values from VASP
&SYSTEM
  ibrav = 0, nat = 9, ntyp = 3
/
ATOMIC_SPECIES
Cd 112.41 Cd.upf
Au 196.97 Au.upf
Ce 140.12 Ce.upf
CELL_PARAMETERS angstrom
3.520 0.000 0.000
1.760 7.999 1.083
1.760 3.334 7.351
ATOMIC_POSITIONS crystal
Cd 0.643 0.857 0.857
Cd 0.357 0.143 0.143
Au 0.000 0.178 0.822
Au 0.000 0.822 0.178
Au 0.178 0.144 0.501
Au 0.822 0.499 0.856
Au 0.822 0.856 0.499
Au 0.178 0.501 0.144
Ce 0.500 0.500 0.500
! Total DFT energy (no corrections)   -29.90 eV per cell



Record 2
! CeCd3Au2 PBE relaxed; values from VASP
&SYSTEM
  ibrav = 0, nat = 12, ntyp = 3
/
ATOMIC_SPECIES
Ce 140.12 Ce.upf
Au 196.97 Au.upf
Cd 112.41 Cd.upf
CELL_PARAMETERS angstrom
4.458 0.000 0.000
-2.229 9.135 -0.047
0.000 -4.174 6.892
ATOMIC_POSITIONS crystal
Ce 0.883 0.765 0.926
Ce 0.117 0.235 0.074
Au 0.759 0.519 0.233
Au 0.508 0.017 0.185
Au 0.492 0.983 0.815
Au 0.241 0.481 0.767
Cd 0.649 0.297 0.804
Cd 0.062 0.124 0.444
Cd 0.938 0.876 0.556
Cd 0.312 0.625 0.522
Cd 0.351 0.703 0.196
Cd 0.688 0.375 0.478
! Total DFT energy (no corrections)   -34.67 eV per cell



Record 3
! CeCd3Au PBE relaxed; values from VASP
&SYSTEM
  ibrav = 0, nat = 20, ntyp = 3
/
ATOMIC_SPECIES
Ce 140.12 Ce.upf
Au 196.97 Au.upf
Cd 112.41 Cd.upf
CELL_PARAMETERS angstrom
4.419 0.000 0.000
0.000 9.275 0.000
0.000 0.000 11.951
ATOMIC_POSITIONS crystal
Ce 0.750 0.814 0.993
Ce 0.750 0.314 0.507
Ce 0.250 0.686 0.493
Ce 0.250 0.186 0.007
Au 0.750 0.361 0.128
Au 0.750 0.861 0.372
Au 0.250 0.139 0.628
Au 0.250 0.639 0.872
Cd 0.250 0.564 0.100
Cd 0.250 0.856 0.200
Cd 0.250 0.918 0.792
Cd 0.750 0.436 0.900
Cd 0.750 0.144 0.800
Cd 0.750 0.644 0.700
Cd 0.750 0.936 0.600
Cd 0.250 0.356 0.300
Cd 0.750 0.082 0.208
Cd 0.250 0.064 0.400
Cd 0.750 0.582 0.292
Cd 0.250 0.418 0.708
! Total DFT energy (no corrections)   -53.01 eV per cell



Record 4
! Ce6CdAu2 PBE relaxed; values from VASP
&SYSTEM
  ibrav = 0, nat = 9, ntyp = 3
/
ATOMIC_SPECIES
Ce 140.12 Ce.upf
Au 196.97 Au.upf
Cd 112.41 Cd.upf
CELL_PARAMETERS angstrom
5.685 -1.219 0.204
-0.151 8.371 2.260
-0.653 1.826 5.297
ATOMIC_POSITIONS crystal
Ce 0.565 0.251 0.819
Ce 0.713 0.602 0.010
Ce 0.285 0.928 0.605
Ce 0.715 0.072 0.395
Ce 0.435 0.749 0.181
Ce 0.287 0.398 0.990
Au 0.070 0.356 0.478
Au 0.930 0.644 0.522
Cd 0.000 0.000 0.000
! Total DFT energy (no corrections)   -45.48 eV per cell